(1)
First-principles (PBE) data for Ba4PuTa3O12 after structural relaxation, as listed in Alexandria.

E_form (uncorrected) = -2875 meV/atom
Uncorrected energy = -8.73 eV per atom
SG = Im-3m

Geometry as CIF:
```
data_Ba4PuTa3O12
_symmetry_space_group_name_H-M 'P 1'
_symmetry_Int_Tables_number 1
_cell_length_a 7.312
_cell_length_b 7.312
_cell_length_c 7.312
_cell_angle_alpha 109.47
_cell_angle_beta 109.47
_cell_angle_gamma 109.47
loop_
_symmetry_equiv_pos_as_xyz
'x,y,z'
loop_
_atom_site_label
_atom_site_type_symbol
_atom_site_fract_x
_atom_site_fract_y
_atom_site_fract_z
Ba1 Ba 0.000 0.000 0.500
Ba2 Ba 0.000 0.500 0.000
Ba3 Ba 0.500 0.000 0.000
Ba4 Ba 0.500 0.500 0.500
Pu1 Pu 0.000 0.000 0.000
Ta1 Ta 0.000 0.500 0.500
Ta2 Ta 0.500 0.000 0.500
Ta3 Ta 0.500 0.500 0.000
O1 O 0.000 0.266 0.266
O2 O 0.000 0.734 0.734
O3 O 0.250 0.500 0.750
O4 O 0.250 0.750 0.500
O5 O 0.266 0.000 0.266
O6 O 0.266 0.266 0.000
O7 O 0.500 0.250 0.750
O8 O 0.500 0.750 0.250
O9 O 0.734 0.000 0.734
O10 O 0.734 0.734 0.000
O11 O 0.750 0.250 0.500
O12 O 0.750 0.500 0.250
```

***

(2)
First-principles (PBE) data for Ba3TbPu2O9 after structural relaxation, as listed in Alexandria.

E_form (uncorrected) = -3023 meV/atom
Uncorrected energy = -8.60 eV per atom
SG = P-3m1

Geometry as CIF:
```
data_Ba3TbPu2O9
_symmetry_space_group_name_H-M 'P 1'
_symmetry_Int_Tables_number 1
_cell_length_a 6.218
_cell_length_b 6.218
_cell_length_c 7.619
_cell_angle_alpha 90.00
_cell_angle_beta 90.00
_cell_angle_gamma 120.00
loop_
_symmetry_equiv_pos_as_xyz
'x,y,z'
loop_
_atom_site_label
_atom_site_type_symbol
_atom_site_fract_x
_atom_site_fract_y
_atom_site_fract_z
Ba1 Ba 0.000 0.000 0.000
Ba2 Ba 0.333 0.667 0.658
Ba3 Ba 0.667 0.333 0.342
Tb1 Tb 0.000 0.000 0.500
Pu1 Pu 0.333 0.667 0.165
Pu2 Pu 0.667 0.333 0.835
O1 O 0.000 0.500 0.000
O2 O 0.171 0.342 0.329
O3 O 0.171 0.829 0.329
O4 O 0.342 0.171 0.671
O5 O 0.500 0.000 0.000
O6 O 0.500 0.500 0.000
O7 O 0.658 0.829 0.329
O8 O 0.829 0.171 0.671
O9 O 0.829 0.658 0.671
```

***

(3)
First-principles (PBE) data for BaTbPuO6 after structural relaxation, as listed in Alexandria.

E_form (uncorrected) = -2867 meV/atom
Uncorrected energy = -8.49 eV per atom
SG = P-31c

Geometry as CIF:
```
data_BaTbPuO6
_symmetry_space_group_name_H-M 'P 1'
_symmetry_Int_Tables_number 1
_cell_length_a 5.863
_cell_length_b 5.863
_cell_length_c 11.037
_cell_angle_alpha 90.00
_cell_angle_beta 90.00
_cell_angle_gamma 120.00
loop_
_symmetry_equiv_pos_as_xyz
'x,y,z'
loop_
_atom_site_label
_atom_site_type_symbol
_atom_site_fract_x
_atom_site_fract_y
_atom_site_fract_z
Ba1 Ba 0.000 0.000 0.000
Ba2 Ba 0.000 0.000 0.500
Tb1 Tb 0.333 0.667 0.250
Tb2 Tb 0.667 0.333 0.750
Pu1 Pu 0.333 0.667 0.750
Pu2 Pu 0.667 0.333 0.250
O1 O 0.034 0.391 0.650
O2 O 0.034 0.642 0.850
O3 O 0.358 0.391 0.850
O4 O 0.358 0.966 0.650
O5 O 0.391 0.034 0.150
O6 O 0.391 0.358 0.350
O7 O 0.609 0.642 0.650
O8 O 0.609 0.966 0.850
O9 O 0.642 0.034 0.350
O10 O 0.642 0.609 0.150
O11 O 0.966 0.358 0.150
O12 O 0.966 0.609 0.350
```

***

(4)
First-principles (PBE) data for Ba4TbPu3O12 after structural relaxation, as listed in Alexandria.

E_form (uncorrected) = -3008 meV/atom
Uncorrected energy = -8.75 eV per atom
SG = Im-3m

Geometry as CIF:
```
data_Ba4TbPu3O12
_symmetry_space_group_name_H-M 'P 1'
_symmetry_Int_Tables_number 1
_cell_length_a 7.625
_cell_length_b 7.625
_cell_length_c 7.625
_cell_angle_alpha 109.47
_cell_angle_beta 109.47
_cell_angle_gamma 109.47
loop_
_symmetry_equiv_pos_as_xyz
'x,y,z'
loop_
_atom_site_label
_atom_site_type_symbol
_atom_site_fract_x
_atom_site_fract_y
_atom_site_fract_z
Ba1 Ba 0.000 0.000 0.500
Ba2 Ba 0.000 0.500 0.000
Ba3 Ba 0.500 0.000 0.000
Ba4 Ba 0.500 0.500 0.500
Tb1 Tb 0.000 0.000 0.000
Pu1 Pu 0.000 0.500 0.500
Pu2 Pu 0.500 0.000 0.500
Pu3 Pu 0.500 0.500 0.000
O1 O 0.000 0.257 0.257
O2 O 0.000 0.743 0.743
O3 O 0.250 0.500 0.750
O4 O 0.250 0.750 0.500
O5 O 0.257 0.000 0.257
O6 O 0.257 0.257 0.000
O7 O 0.500 0.250 0.750
O8 O 0.500 0.750 0.250
O9 O 0.743 0.000 0.743
O10 O 0.743 0.743 0.000
O11 O 0.750 0.250 0.500
O12 O 0.750 0.500 0.250
```

***

(5)
First-principles (PBE) data for Ba2TbPu3O12 after structural relaxation, as listed in Alexandria.

E_form (uncorrected) = -2749 meV/atom
Uncorrected energy = -8.91 eV per atom
SG = R-3m

Geometry as CIF:
```
data_Ba2TbPu3O12
_symmetry_space_group_name_H-M 'P 1'
_symmetry_Int_Tables_number 1
_cell_length_a 7.106
_cell_length_b 7.106
_cell_length_c 7.106
_cell_angle_alpha 68.07
_cell_angle_beta 68.07
_cell_angle_gamma 68.07
loop_
_symmetry_equiv_pos_as_xyz
'x,y,z'
loop_
_atom_site_label
_atom_site_type_symbol
_atom_site_fract_x
_atom_site_fract_y
_atom_site_fract_z
Ba1 Ba 0.114 0.114 0.114
Ba2 Ba 0.886 0.886 0.886
Tb1 Tb 0.500 0.500 0.500
Pu1 Pu 0.000 0.500 0.500
Pu2 Pu 0.500 0.000 0.500
Pu3 Pu 0.500 0.500 0.000
O1 O 0.065 0.643 0.643
O2 O 0.247 0.247 0.619
O3 O 0.247 0.619 0.247
O4 O 0.357 0.357 0.935
O5 O 0.357 0.935 0.357
O6 O 0.381 0.753 0.753
O7 O 0.619 0.247 0.247
O8 O 0.643 0.065 0.643
O9 O 0.643 0.643 0.065
O10 O 0.753 0.381 0.753
O11 O 0.753 0.753 0.381
O12 O 0.935 0.357 0.357
```

***

(6)
First-principles (PBE) data for BaTbPu2O8 after structural relaxation, as listed in Alexandria.

E_form (uncorrected) = -2745 meV/atom
Uncorrected energy = -8.98 eV per atom
SG = I-4m2

Geometry as CIF:
```
data_BaTbPu2O8
_symmetry_space_group_name_H-M 'P 1'
_symmetry_Int_Tables_number 1
_cell_length_a 6.641
_cell_length_b 6.641
_cell_length_c 6.641
_cell_angle_alpha 130.45
_cell_angle_beta 130.45
_cell_angle_gamma 72.69
loop_
_symmetry_equiv_pos_as_xyz
'x,y,z'
loop_
_atom_site_label
_atom_site_type_symbol
_atom_site_fract_x
_atom_site_fract_y
_atom_site_fract_z
Ba1 Ba 0.000 0.000 0.000
Tb1 Tb 0.250 0.750 0.500
Pu1 Pu 0.500 0.500 0.000
Pu2 Pu 0.750 0.250 0.500
O1 O 0.135 0.152 0.548
O2 O 0.135 0.587 0.983
O3 O 0.413 0.396 0.548
O4 O 0.413 0.865 0.017
O5 O 0.604 0.152 0.017
O6 O 0.604 0.587 0.452
O7 O 0.848 0.396 0.983
O8 O 0.848 0.865 0.452
```

***

(7)
First-principles (PBE) data for BaTb2PuO8 after structural relaxation, as listed in Alexandria.

E_form (uncorrected) = -2751 meV/atom
Uncorrected energy = -8.18 eV per atom
SG = P2/m

Geometry as CIF:
```
data_BaTb2PuO8
_symmetry_space_group_name_H-M 'P 1'
_symmetry_Int_Tables_number 1
_cell_length_a 5.148
_cell_length_b 7.510
_cell_length_c 5.159
_cell_angle_alpha 90.00
_cell_angle_beta 90.13
_cell_angle_gamma 90.00
loop_
_symmetry_equiv_pos_as_xyz
'x,y,z'
loop_
_atom_site_label
_atom_site_type_symbol
_atom_site_fract_x
_atom_site_fract_y
_atom_site_fract_z
Ba1 Ba 0.000 0.000 0.000
Tb1 Tb 0.500 0.266 0.500
Tb2 Tb 0.500 0.734 0.500
Pu1 Pu 0.000 0.500 0.000
O1 O 0.186 0.307 0.189
O2 O 0.186 0.693 0.189
O3 O 0.288 0.500 0.715
O4 O 0.353 0.000 0.655
O5 O 0.647 0.000 0.345
O6 O 0.712 0.500 0.285
O7 O 0.814 0.307 0.811
O8 O 0.814 0.693 0.811
```

***

(8)
First-principles (PBE) data for Ba2TbPuO6 after structural relaxation, as listed in Alexandria.

E_form (uncorrected) = -3041 meV/atom
Uncorrected energy = -8.30 eV per atom
SG = Fm-3m

Geometry as CIF:
```
data_Ba2TbPuO6
_symmetry_space_group_name_H-M 'P 1'
_symmetry_Int_Tables_number 1
_cell_length_a 6.210
_cell_length_b 6.210
_cell_length_c 6.210
_cell_angle_alpha 60.00
_cell_angle_beta 60.00
_cell_angle_gamma 60.00
loop_
_symmetry_equiv_pos_as_xyz
'x,y,z'
loop_
_atom_site_label
_atom_site_type_symbol
_atom_site_fract_x
_atom_site_fract_y
_atom_site_fract_z
Ba1 Ba 0.250 0.250 0.250
Ba2 Ba 0.750 0.750 0.750
Tb1 Tb 0.000 0.000 0.000
Pu1 Pu 0.500 0.500 0.500
O1 O 0.257 0.257 0.743
O2 O 0.257 0.743 0.257
O3 O 0.257 0.743 0.743
O4 O 0.743 0.257 0.257
O5 O 0.743 0.257 0.743
O6 O 0.743 0.743 0.257
```

***

Which value of E_form (uncorrected) does entry 1 give? -2875 meV/atom

***

Number 1 is which compound? Ba4PuTa3O12